# Er12CoAg6, optimized geometry, DFT GGA-PBE
# formation energy from the elements = -114 meV/atom
data_Er12CoAg6
_chemical_formula_sum 'Er36 Co3 Ag18'
_cell_length_a 11.6239
_cell_length_b 11.6239
_cell_length_c 12.9508
_cell_angle_alpha 90.00
_cell_angle_beta 90.00
_cell_angle_gamma 120.00
_symmetry_space_group_name_H-M 'R -3'
_symmetry_Int_Tables_number 148
_symmetry_space_group_name_Hall '-R 3'
loop_
_atom_site_label
_atom_site_fract_x
_atom_site_fract_y
_atom_site_fract_z
Er1 0.0307 0.1880 0.3785
Er2 0.0379 0.8472 0.8893
Co1 0.0000 0.0000 0.5000
Ag1 0.0022 0.6074 0.7568

# ZnGaSn2B, optimized geometry, DFT GGA-PBE
# formation energy from the elements = 721 meV/atom
data_ZnGaSn2B
_chemical_formula_sum 'Zn1 Ga1 Sn2 B1'
_cell_length_a 5.475
_cell_length_b 5.475
_cell_length_c 3.819
_cell_angle_alpha 90.00
_cell_angle_beta 90.00
_cell_angle_gamma 90.00
_symmetry_space_group_name_H-M 'P 4/m m m'
_symmetry_Int_Tables_number 123
_symmetry_space_group_name_Hall '-P 4 2'
loop_
_atom_site_label
_atom_site_fract_x
_atom_site_fract_y
_atom_site_fract_z
Zn1 0.000 0.000 0.000
Ga1 0.500 0.500 0.500
Sn1 0.000 0.500 0.000
B1 0.000 0.000 0.500

# La3W, optimized geometry, DFT GGA-PBE
# formation energy from the elements = 599 meV/atom
# distance to the lowest polymorph of the same formula = 185 meV/atom
data_La3W
_chemical_formula_sum 'La3 W1'
_cell_length_a 4.833
_cell_length_b 4.833
_cell_length_c 4.833
_cell_angle_alpha 90.00
_cell_angle_beta 90.00
_cell_angle_gamma 90.00
_symmetry_space_group_name_H-M 'P m -3 m'
_symmetry_Int_Tables_number 221
_symmetry_space_group_name_Hall '-P 4 2 3'
loop_
_atom_site_label
_atom_site_fract_x
_atom_site_fract_y
_atom_site_fract_z
La1 0.000 0.000 0.500
W1 0.500 0.500 0.500

# ThMg2SiPt2, optimized geometry, DFT GGA-PBE
# ΔE_f (raw) = -44.3 kJ/mol of atoms
data_ThMg2SiPt2
_chemical_formula_sum 'Th2 Mg4 Si2 Pt4'
_cell_length_a 5.093
_cell_length_b 5.093
_cell_length_c 10.448
_cell_angle_alpha 90.00
_cell_angle_beta 90.00
_cell_angle_gamma 90.00
_symmetry_space_group_name_H-M 'I 4/m m m'
_symmetry_Int_Tables_number 139
_symmetry_space_group_name_Hall '-I 4 2'
loop_
_atom_site_label
_atom_site_fract_x
_atom_site_fract_y
_atom_site_fract_z
Th1 0.000 0.000 0.000
Mg1 0.000 0.500 0.250
Si1 0.000 0.000 0.500
Pt1 0.000 0.000 0.278

# BaMg6Hg12, optimized geometry, DFT GGA-PBE
# formation energy from the elements = -186 meV/atom
# distance to the lowest polymorph of the same formula = 0 meV/atom
data_BaMg6Hg12
_chemical_formula_sum 'Ba3 Mg18 Hg36'
_cell_length_a 14.2847
_cell_length_b 14.2847
_cell_length_c 7.9412
_cell_angle_alpha 90.00
_cell_angle_beta 90.00
_cell_angle_gamma 120.00
_symmetry_space_group_name_H-M 'R -3'
_symmetry_Int_Tables_number 148
_symmetry_space_group_name_Hall '-R 3'
loop_
_atom_site_label
_atom_site_fract_x
_atom_site_fract_y
_atom_site_fract_z
Ba1 0.0000 0.0000 0.0000
Mg1 0.0125 0.2590 0.2954
Hg1 0.0125 0.8597 0.3565
Hg2 0.0472 0.5619 0.6945

# KInTe2, optimized geometry, DFT GGA-PBE
# ΔE_f (raw) = -43.4 kJ/mol of atoms
data_KInTe2
_chemical_formula_sum 'K2 In2 Te4'
_cell_length_a 3.940
_cell_length_b 4.269
_cell_length_c 16.866
_cell_angle_alpha 90.00
_cell_angle_beta 90.00
_cell_angle_gamma 90.00
_symmetry_space_group_name_H-M 'I m m 2'
_symmetry_Int_Tables_number 44
loop_
_symmetry_equiv_pos_as_xyz
'x,y,z'
'-x,-y,z'
'-x,y,z'
'x,-y,z'
'x+1/2,y+1/2,z+1/2'
'-x+1/2,-y+1/2,z+1/2'
'-x+1/2,y+1/2,z+1/2'
'x+1/2,-y+1/2,z+1/2'
loop_
_atom_site_label
_atom_site_fract_x
_atom_site_fract_y
_atom_site_fract_z
K1 0.000 0.000 0.000
In1 0.000 0.500 0.253
Te1 0.000 0.000 0.620
Te2 0.000 0.500 0.828

# ErHfIrRh, optimized geometry, DFT GGA-PBE
# formation energy from the elements = -933 meV/atom
# distance to the lowest polymorph of the same formula = 0 meV/atom
data_ErHfIrRh
_chemical_formula_sum 'Er1 Hf1 Ir1 Rh1'
_cell_length_a 3.315
_cell_length_b 3.315
_cell_length_c 6.800
_cell_angle_alpha 90.00
_cell_angle_beta 90.00
_cell_angle_gamma 90.00
_symmetry_space_group_name_H-M 'P 4 m m'
_symmetry_Int_Tables_number 99
loop_
_symmetry_equiv_pos_as_xyz
'x,y,z'
'-y,x,z'
'-x,-y,z'
'y,-x,z'
'-x,y,z'
'y,x,z'
'x,-y,z'
'-y,-x,z'
loop_
_atom_site_label
_atom_site_fract_x
_atom_site_fract_y
_atom_site_fract_z
Er1 0.000 0.000 0.000
Hf1 0.000 0.000 0.497
Ir1 0.500 0.500 0.271
Rh1 0.500 0.500 0.727

# Li2NiP, optimized geometry, DFT GGA-PBE
# formation energy from the elements = -309 meV/atom
data_Li2NiP
_chemical_formula_sum 'Li2 Ni1 P1'
_cell_length_a 2.963
_cell_length_b 2.963
_cell_length_c 6.637
_cell_angle_alpha 90.00
_cell_angle_beta 90.00
_cell_angle_gamma 90.00
_symmetry_space_group_name_H-M 'P 4 m m'
_symmetry_Int_Tables_number 99
loop_
_symmetry_equiv_pos_as_xyz
'x,y,z'
'-y,x,z'
'-x,-y,z'
'y,-x,z'
'-x,y,z'
'y,x,z'
'x,-y,z'
'-y,-x,z'
loop_
_atom_site_label
_atom_site_fract_x
_atom_site_fract_y
_atom_site_fract_z
Li1 0.000 0.000 0.000
Li2 0.500 0.500 0.346
Ni1 0.000 0.000 0.609
P1 0.500 0.500 0.743

# YMoOs2, optimized geometry, DFT GGA-PBE
# formation energy from the elements = 231 meV/atom
# distance to the lowest polymorph of the same formula = 156 meV/atom
data_YMoOs2
_chemical_formula_sum 'Y1 Mo1 Os2'
_cell_length_a 4.654
_cell_length_b 4.654
_cell_length_c 3.174
_cell_angle_alpha 90.00
_cell_angle_beta 90.00
_cell_angle_gamma 90.00
_symmetry_space_group_name_H-M 'P 4/m m m'
_symmetry_Int_Tables_number 123
_symmetry_space_group_name_Hall '-P 4 2'
loop_
_atom_site_label
_atom_site_fract_x
_atom_site_fract_y
_atom_site_fract_z
Y1 0.000 0.000 0.000
Mo1 0.500 0.500 0.000
Os1 0.000 0.500 0.500

# Ho4N3F, optimized geometry, DFT GGA-PBE
# ΔE_f (raw) = -185.8 kJ/mol of atoms
data_Ho4N3F
_chemical_formula_sum 'Ho8 N6 F2'
_cell_length_a 6.956
_cell_length_b 9.746
_cell_length_c 3.442
_cell_angle_alpha 90.00
_cell_angle_beta 90.00
_cell_angle_gamma 90.00
_symmetry_space_group_name_H-M 'C m m m'
_symmetry_Int_Tables_number 65
_symmetry_space_group_name_Hall '-C 2 2'
loop_
_atom_site_label
_atom_site_fract_x
_atom_site_fract_y
_atom_site_fract_z
Ho1 0.000 0.241 0.000
Ho2 0.230 0.000 0.500
N1 0.000 0.000 0.000
N2 0.250 0.250 0.500
F1 0.000 0.500 0.000

# Ac2HfMnS6, optimized geometry, DFT GGA-PBE
# ΔE_f (raw) = -148.4 kJ/mol of atoms
data_Ac2HfMnS6
_chemical_formula_sum 'Ac4 Hf2 Mn2 S12'
_cell_length_a 6.912
_cell_length_b 9.816
_cell_length_c 7.072
_cell_angle_alpha 90.00
_cell_angle_beta 90.00
_cell_angle_gamma 90.00
_symmetry_space_group_name_H-M 'P m m n'
_symmetry_Int_Tables_number 59
loop_
_symmetry_equiv_pos_as_xyz
'x,y,z'
'-x,-y,-z'
'-x+1/2,-y+1/2,z'
'x+1/2,y+1/2,-z'
'x+1/2,-y,-z'
'-x+1/2,y,z'
'-x,y+1/2,-z'
'x,-y+1/2,z'
loop_
_atom_site_label
_atom_site_fract_x
_atom_site_fract_y
_atom_site_fract_z
Ac1 0.250 0.036 0.195
Hf1 0.250 0.250 0.712
Mn1 0.250 0.750 0.768
S1 0.012 0.750 0.037
S2 0.020 0.250 0.443
S3 0.250 0.000 0.773

# KRbIn2Pt, optimized geometry, DFT GGA-PBE
# formation energy from the elements = -207 meV/atom
# distance to the lowest polymorph of the same formula = 0 meV/atom
data_KRbIn2Pt
_chemical_formula_sum 'K1 Rb1 In2 Pt1'
_cell_length_a 5.281
_cell_length_b 5.281
_cell_length_c 6.245
_cell_angle_alpha 90.00
_cell_angle_beta 90.00
_cell_angle_gamma 90.00
_symmetry_space_group_name_H-M 'P 4/m m m'
_symmetry_Int_Tables_number 123
_symmetry_space_group_name_Hall '-P 4 2'
loop_
_atom_site_label
_atom_site_fract_x
_atom_site_fract_y
_atom_site_fract_z
K1 0.000 0.000 0.000
Rb1 0.500 0.500 0.000
In1 0.000 0.500 0.500
Pt1 0.000 0.000 0.500

# ZnSbF5, optimized geometry, DFT GGA-PBE
# ΔE_f (raw) = -221.0 kJ/mol of atoms
# distance to the lowest polymorph of the same formula = 28 meV/atom
data_ZnSbF5
_chemical_formula_sum 'Zn4 Sb4 F20'
_cell_length_a 9.084
_cell_length_b 6.047
_cell_length_c 9.343
_cell_angle_alpha 90.00
_cell_angle_beta 116.81
_cell_angle_gamma 90.00
_symmetry_space_group_name_H-M 'C 1 c 1'
_symmetry_Int_Tables_number 9
loop_
_symmetry_equiv_pos_as_xyz
'x,y,z'
'x,-y,z+1/2'
'x+1/2,y+1/2,z'
'x+1/2,-y+1/2,z+1/2'
loop_
_atom_site_label
_atom_site_fract_x
_atom_site_fract_y
_atom_site_fract_z
Zn1 0.000 0.247 0.000
Sb1 0.264 0.241 0.754
F1 0.065 0.080 0.593
F2 0.102 0.485 0.158
F3 0.145 0.178 0.900
F4 0.310 0.288 0.550
F5 0.349 0.091 0.296

# YHo5Mg4, optimized geometry, DFT GGA-PBE
# formation energy from the elements = -50 meV/atom
data_YHo5Mg4
_chemical_formula_sum 'Y1 Ho5 Mg4'
_cell_length_a 3.718
_cell_length_b 3.718
_cell_length_c 20.229
_cell_angle_alpha 90.00
_cell_angle_beta 90.00
_cell_angle_gamma 90.00
_symmetry_space_group_name_H-M 'P 4/m m m'
_symmetry_Int_Tables_number 123
_symmetry_space_group_name_Hall '-P 4 2'
loop_
_atom_site_label
_atom_site_fract_x
_atom_site_fract_y
_atom_site_fract_z
Y1 0.000 0.000 0.000
Ho1 0.500 0.500 0.119
Ho2 0.500 0.500 0.310
Ho3 0.500 0.500 0.500
Mg1 0.000 0.000 0.215
Mg2 0.000 0.000 0.405

# CeScZnMo, optimized geometry, DFT GGA-PBE
# formation energy from the elements = 4 meV/atom
data_CeScZnMo
_chemical_formula_sum 'Ce4 Sc4 Zn4 Mo4'
_cell_length_a 6.864
_cell_length_b 6.864
_cell_length_c 6.864
_cell_angle_alpha 90.00
_cell_angle_beta 90.00
_cell_angle_gamma 90.00
_symmetry_space_group_name_H-M 'F -4 3 m'
_symmetry_Int_Tables_number 216
_symmetry_space_group_name_Hall 'F -4 2 3'
loop_
_atom_site_label
_atom_site_fract_x
_atom_site_fract_y
_atom_site_fract_z
Ce1 0.000 0.000 0.000
Sc1 0.000 0.000 0.500
Zn1 0.250 0.250 0.250
Mo1 0.250 0.250 0.750

# Tb2DyPuSe4, optimized geometry, DFT GGA-PBE
# ΔE_f (raw) = -166.8 kJ/mol of atoms
data_Tb2DyPuSe4
_chemical_formula_sum 'Tb2 Dy1 Pu1 Se4'
_cell_length_a 7.110
_cell_length_b 4.083
_cell_length_c 7.111
_cell_angle_alpha 90.00
_cell_angle_beta 109.18
_cell_angle_gamma 90.00
_symmetry_space_group_name_H-M 'P 1 2/m 1'
_symmetry_Int_Tables_number 10
loop_
_symmetry_equiv_pos_as_xyz
'x,y,z'
'-x,-y,-z'
'-x,y,-z'
'x,-y,z'
loop_
_atom_site_label
_atom_site_fract_x
_atom_site_fract_y
_atom_site_fract_z
Tb1 0.000 0.000 0.000
Tb2 0.000 0.500 0.500
Dy1 0.500 0.000 0.500
Pu1 0.500 0.500 0.000
Se1 0.248 0.000 0.747
Se2 0.250 0.500 0.252

# NiHRu2Au, optimized geometry, DFT GGA-PBE
# calculated total energy = -29.57 eV per formula unit
data_NiHRu2Au
_chemical_formula_sum 'Ni1 H1 Ru2 Au1'
_cell_length_a 3.891
_cell_length_b 3.891
_cell_length_c 3.905
_cell_angle_alpha 90.00
_cell_angle_beta 90.00
_cell_angle_gamma 90.00
_symmetry_space_group_name_H-M 'P 4/m m m'
_symmetry_Int_Tables_number 123
_symmetry_space_group_name_Hall '-P 4 2'
loop_
_atom_site_label
_atom_site_fract_x
_atom_site_fract_y
_atom_site_fract_z
Ni1 0.000 0.000 0.000
H1 0.000 0.000 0.500
Ru1 0.000 0.500 0.500
Au1 0.500 0.500 0.000

# InPPt2, optimized geometry, DFT GGA-PBE
# formation energy from the elements = -59 meV/atom
# distance to the lowest polymorph of the same formula = 288 meV/atom
data_InPPt2
_chemical_formula_sum 'In1 P1 Pt2'
_cell_length_a 4.486
_cell_length_b 3.129
_cell_length_c 5.159
_cell_angle_alpha 90.00
_cell_angle_beta 111.05
_cell_angle_gamma 90.00
_symmetry_space_group_name_H-M 'P 1 2/m 1'
_symmetry_Int_Tables_number 10
loop_
_symmetry_equiv_pos_as_xyz
'x,y,z'
'-x,-y,-z'
'-x,y,-z'
'x,-y,z'
loop_
_atom_site_label
_atom_site_fract_x
_atom_site_fract_y
_atom_site_fract_z
In1 0.000 0.000 0.000
P1 0.000 0.500 0.500
Pt1 0.500 0.000 0.500
Pt2 0.500 0.500 0.000

# MoIrPt2, optimized geometry, DFT GGA-PBE
# formation energy from the elements = -196 meV/atom
# distance to the lowest polymorph of the same formula = 55 meV/atom
data_MoIrPt2
_chemical_formula_sum 'Mo3 Ir3 Pt6'
_cell_length_a 2.7739
_cell_length_b 2.7739
_cell_length_c 27.6385
_cell_angle_alpha 90.00
_cell_angle_beta 90.00
_cell_angle_gamma 120.00
_symmetry_space_group_name_H-M 'R 3 m'
_symmetry_Int_Tables_number 160
_symmetry_space_group_name_Hall 'R 3 -2"'
loop_
_atom_site_label
_atom_site_fract_x
_atom_site_fract_y
_atom_site_fract_z
Mo1 0.0000 0.0000 0.0000
Ir1 0.0000 0.0000 0.7440
Pt1 0.0000 0.0000 0.2507
Pt2 0.0000 0.0000 0.4968

# Ho8Te3AsP3, optimized geometry, DFT GGA-PBE
# ΔE_f (raw) = -134.7 kJ/mol of atoms
data_Ho8Te3AsP3
_chemical_formula_sum 'Ho24 Te9 As3 P9'
_cell_length_a 8.1488
_cell_length_b 8.1488
_cell_length_c 20.8256
_cell_angle_alpha 90.00
_cell_angle_beta 90.00
_cell_angle_gamma 120.00
_symmetry_space_group_name_H-M 'R -3 m'
_symmetry_Int_Tables_number 166
_symmetry_space_group_name_Hall '-R 3 2"'
loop_
_atom_site_label
_atom_site_fract_x
_atom_site_fract_y
_atom_site_fract_z
Ho1 0.0000 0.0000 0.2359
Ho2 0.0102 0.5051 0.7605
Te1 0.0000 0.5000 0.0000
As1 0.0000 0.0000 0.5000
P1 0.0000 0.5000 0.5000